1.
Crystalline SiP at its relaxed geometry, computed with GGA-PBE.

```
SiP
1.0
2.4691 0.0000 0.0000
0.0000 2.0899 3.5616
0.0000 -2.0899 3.5616
Si P
1 1
Cartesian
0.0000 0.0000 0.0000
0.0000 0.0000 2.3886
```

Computed properties:
- E (eV per formula unit) = -10.63
- M_tot (μB/cell) = 0.0
- crystal system = orthorhombic


2.
Crystalline LiCr2Os at its relaxed geometry, computed with GGA-PBE.

```
LiCr2Os
1.0
2.5773 0.0000 0.0000
0.0000 2.5773 0.0000
0.0000 0.0000 8.0665
Li Cr Os
1 2 1
Cartesian
0.0000 0.0000 0.0000
0.0000 0.0000 3.9679
1.2886 1.2886 5.7821
1.2886 1.2886 2.1303
```

Computed properties:
- E (eV per formula unit) = -30.62
- M_tot (μB/cell) = 0.0
- energy relative to the elements (meV/atom) = 441.4
- crystal system = tetragonal


3.
Crystalline CoTcPt2 at its relaxed geometry, computed with GGA-PBE.

```
CoTcPt2
1.0
-3.4287 3.4287 2.6521
3.4287 -3.4287 2.6521
3.4287 3.4287 -2.6521
Co Tc Pt
2 2 4
Cartesian
0.0000 0.0000 0.0000
0.0000 3.4287 1.3260
3.4287 0.0000 1.3260
0.0000 0.0000 2.6521
5.1431 1.6235 -0.6630
1.6235 1.7144 0.6630
-1.7144 1.8052 1.9891
1.8052 1.7144 3.3151
```

Computed properties:
- E (eV per formula unit) = -27.50
- E above lowest polymorph (meV/atom) = 613
- M_tot (μB/cell) = 4.5
- energy relative to the elements (meV/atom) = 512.2
- crystal system = tetragonal


4.
Crystalline PrY2ZrAs4 at its relaxed geometry, computed with GGA-PBE.

```
PrY2ZrAs4
1.0
7.0872 0.0000 0.0000
0.0000 4.0985 0.0000
-2.3457 0.0000 6.7096
Pr Y Zr As
1 2 1 4
Cartesian
0.0000 0.0000 0.0000
2.3708 0.0000 3.3548
3.5436 2.0492 0.0000
-1.1728 2.0492 3.3548
-0.0034 0.0000 4.9353
1.1645 2.0492 1.7690
3.5770 2.0492 4.9407
4.7449 0.0000 1.7744
```

Computed properties:
- E (eV per formula unit) = -56.09
- M_tot (μB/cell) = 0.0
- energy relative to the elements (meV/atom) = -1404.0
- crystal system = monoclinic


5.
Crystalline Y2RhW at its relaxed geometry, computed with GGA-PBE.

```
Y2RhW
1.0
5.0995 0.0000 0.0000
0.0000 5.0995 0.0000
0.0000 0.0000 3.2501
Y Rh W
2 1 1
Cartesian
0.0000 2.5497 0.0000
2.5497 0.0000 0.0000
0.0000 0.0000 1.6251
2.5497 2.5497 1.6251
```

Computed properties:
- E (eV per formula unit) = -32.84
- E above lowest polymorph (meV/atom) = 125
- M_tot (μB/cell) = 0.0
- energy relative to the elements (meV/atom) = 99.0
- crystal system = tetragonal


6.
Crystalline AlCr2Ag at its relaxed geometry, computed with GGA-PBE.

```
AlCr2Ag
1.0
3.0018 0.0000 0.0000
0.0000 3.0018 0.0000
0.0000 0.0000 6.4188
Al Cr Ag
1 2 1
Cartesian
0.0000 0.0000 0.0000
0.0000 0.0000 2.7293
1.5009 1.5009 1.5858
1.5009 1.5009 4.6748
```

Computed properties:
- E (eV per formula unit) = -25.47
- M_tot (μB/cell) = 0.8
- energy relative to the elements (meV/atom) = 91.4
- crystal system = tetragonal


7.
Crystalline HoMg3Sc at its relaxed geometry, computed with GGA-PBE.

```
HoMg3Sc
1.0
5.4392 0.0000 0.0000
0.0000 6.4041 0.0000
-2.7131 0.0000 7.2704
Ho Mg Sc
2 6 2
Cartesian
-0.0006 1.6010 1.6585
2.7267 4.8030 5.6118
0.0068 0.0052 4.5627
0.0068 3.1969 4.5627
0.0069 1.6010 7.1797
2.7193 4.8030 0.0907
2.7193 3.2072 2.7076
2.7193 6.3989 2.7076
-0.0015 4.8030 1.8360
2.7276 1.6010 5.4344
```

Computed properties:
- E (eV per formula unit) = -15.27
- E above lowest polymorph (meV/atom) = 0
- M_tot (μB/cell) = 0.0
- energy relative to the elements (meV/atom) = 84.9
- crystal system = monoclinic


8.
Crystalline NbSbI2O at its relaxed geometry, computed with GGA-PBE.

```
NbSbI2O
1.0
5.8808 0.0000 0.0000
0.0000 5.8808 0.0000
0.0000 0.0000 3.9021
Nb Sb I O
1 1 2 1
Cartesian
0.0000 0.0000 0.0000
2.9404 2.9404 1.9511
0.0000 2.9404 0.0000
2.9404 0.0000 0.0000
0.0000 0.0000 1.9511
```

Computed properties:
- E (eV per formula unit) = -24.18
- E above lowest polymorph (meV/atom) = 0
- M_tot (μB/cell) = 1.5
- crystal system = tetragonal


- What is the formula in the fifth record?
  Y2RhW